A relaxed structure of Na3HoCr2O6, computed with PBE+U.

The calculation puts the theoretical density at 5.08 g cm⁻³. The total DFT energy (no corrections) is -159.02 eV per cell.

The structure belongs to space group C2/m (No. 12); the cell edges are 5.462, 9.468 and 5.778 Å and the angles 90.00°, 108.25° and 90.00°. The asymmetric unit holds Na at (0.000, 0.000, 0.000), Na at (0.000, 0.329, 0.000), Ho at (0.000, 0.500, 0.500), Cr at (0.000, 0.167, 0.500), O at (0.211, 0.000, 0.704) and O at (0.245, 0.322, 0.702).